Y2PaNbN4 | Alexandria via LeMat-Bulk | PBE-GGA | optimized geometry; E_form (uncorrected) = -11.92 eV/f.u.; density of states at the Fermi level = 0.46 states/eV per atom; density = 8.4 Mg/m³; space group = P2/m
1.0
3.396 0.000 0.000
0.000 5.818 0.105
0.000 -2.031 5.557
N Y Pa Nb
4 2 1 1
Cartesian
1.698 0.935 1.310
0.000 -0.090 4.260
0.000 3.877 1.402
1.698 2.852 4.352
1.698 -1.015 2.779
0.000 1.894 2.831
1.698 2.909 0.052
0.000 0.000 0.000

***

Pa2NbZnN6 | Alexandria via LeMat-Bulk | PBE-GGA | optimized geometry; E_form (uncorrected) = -9.44 eV/f.u.; density of states at the Fermi level = 0.67 states/eV per atom; density = 8.3 Mg/m³; space group = R3
1.0
5.638 0.000 0.000
2.819 4.883 0.000
2.819 1.628 5.122
N Pa Zn Nb
6 2 1 1
Cartesian
4.810 1.394 1.266
6.465 1.648 3.638
6.616 4.775 3.639
4.440 4.903 1.265
3.833 3.342 3.638
7.663 3.469 1.265
5.637 3.255 2.245
2.819 1.628 4.790
2.819 1.628 1.039
8.456 4.883 2.904

***

PaNbZnN4 | Alexandria via LeMat-Bulk | PBE-GGA | optimized geometry; E_form (uncorrected) = -5.73 eV/f.u.; density = 7.3 Mg/m³; space group = Imma
1.0
6.233 0.000 0.000
3.117 5.787 -0.151
3.117 1.619 5.558
N Nb Zn Pa
8 2 2 2
Cartesian
7.902 2.534 4.037
4.564 4.872 1.370
6.233 5.797 3.845
3.117 1.725 1.647
6.233 1.609 1.562
7.902 4.872 1.370
9.350 5.681 3.760
4.564 2.534 4.037
1.558 0.810 2.779
4.675 0.810 2.779
6.233 3.464 4.716
6.233 3.943 0.691
0.000 0.000 0.000
3.117 3.703 2.703

***

Zr2PaNbN6 | Alexandria via LeMat-Bulk | PBE-GGA | optimized geometry; E_form (uncorrected) = -12.54 eV/f.u.; density = 7.3 Mg/m³; space group = R3
1.0
-4.323 -3.245 -1.550
0.213 -2.841 -4.848
0.654 -5.831 0.184
N Zr Nb Pa
6 2 1 1
Cartesian
-2.554 -7.075 -1.619
-2.372 -4.013 -1.904
-3.764 -6.216 -4.304
-1.094 -7.707 -3.932
-0.008 -5.964 -2.020
-0.549 -4.825 -4.831
-1.885 -5.663 -3.286
0.491 -5.525 -0.002
-1.218 -2.314 -1.958
-2.926 -8.309 -5.043

***

ZrPa2NbN6 | Alexandria via LeMat-Bulk | PBE-GGA | optimized geometry; E_form (uncorrected) = -13.89 eV/f.u.; density of states at the Fermi level = 0.49 states/eV per atom; density = 8.8 Mg/m³; space group = R3
1.0
-4.788 0.403 -3.137
-3.050 -4.711 -1.199
-5.200 -0.787 2.586
N Nb Pa Zr
6 1 2 1
Cartesian
-8.195 -3.668 -0.318
-5.779 -2.697 1.076
-5.100 -4.538 -1.060
-4.864 -0.852 -1.501
-7.696 -2.729 -3.017
-7.527 -0.791 -0.352
-9.328 -3.935 -2.013
-6.295 -2.604 -1.223
-4.994 -0.839 2.266
-2.832 -1.381 -1.103

***

ZrPaNb2N6 | Alexandria via LeMat-Bulk | PBE-GGA | optimized geometry; E_form (uncorrected) = -11.51 eV/f.u.; density of states at the Fermi level = 0.44 states/eV per atom; density = 7.6 Mg/m³; space group = P1
1.0
5.565 0.002 -0.003
2.784 4.823 0.001
2.781 1.611 4.823
Pa N Nb Zr
1 6 2 1
Cartesian
8.349 4.827 2.854
6.195 4.736 3.598
6.561 1.916 3.598
7.402 3.443 1.202
4.840 1.514 1.204
3.935 3.006 3.600
4.454 4.697 1.205
5.568 3.216 2.039
2.782 1.608 4.482
2.783 1.608 0.396

***

ZrPa2NbN5 | Alexandria via LeMat-Bulk | PBE-GGA | optimized geometry; E_form (uncorrected) = -12.75 eV/f.u.; density of states at the Fermi level = 0.62 states/eV per atom; density = 10.1 Mg/m³; space group = Cmc2_1
1.0
3.359 0.000 0.000
-1.679 6.721 0.000
0.000 0.000 10.399
Pa N Nb Zr
4 10 2 2
Cartesian
0.000 1.954 3.035
1.679 4.767 8.235
1.679 5.270 1.943
0.000 1.451 7.142
1.679 1.692 5.277
1.679 2.403 8.946
0.000 3.735 6.877
1.679 2.986 1.677
1.679 0.234 2.864
0.000 4.318 3.747
0.000 6.487 8.063
1.679 6.011 5.957
0.000 5.028 0.077
0.000 0.710 0.758
0.000 6.358 4.828
1.679 0.363 10.028
0.000 2.864 0.038
1.679 3.857 5.237

***

Zr2PaNbN4 | Alexandria via LeMat-Bulk | PBE-GGA | optimized geometry; E_form (uncorrected) = -11.93 eV/f.u.; density of states at the Fermi level = 0.38 states/eV per atom; density = 9.2 Mg/m³; space group = P2/m
1.0
-2.070 -0.337 2.581
-2.569 -4.230 -2.613
4.329 -2.111 3.198
N Nb Zr Pa
4 1 2 1
Cartesian
0.267 -4.916 1.715
-0.577 -1.762 1.450
2.570 -2.583 1.725
-0.809 -3.758 -1.140
0.000 0.000 0.000
1.129 -1.224 2.889
0.880 -3.170 0.292
-2.320 -2.284 -0.016